[1]
# HfSi2Cl | Alexandria | PBE-GGA | optimized geometry
# - Fermi-level density of states (states/eV per cell) = 17.648
# - volume (Å³ per cell) = 298.4
# - ΔE to the lowest computed polymorph (meV per atom) = 383
# - formation energy from raw total energies (eV per atom) = 0.46
data_HfSi2Cl
_chemical_formula_sum 'Hf4 Si8 Cl4'
_cell_length_a 6.682
_cell_length_b 6.682
_cell_length_c 6.682
_cell_angle_alpha 90.00
_cell_angle_beta 90.00
_cell_angle_gamma 90.00
_symmetry_space_group_name_H-M 'F m -3 m'
_symmetry_Int_Tables_number 225
_symmetry_space_group_name_Hall '-F 4 2 3'
loop_
_atom_site_label
_atom_site_type_symbol
_atom_site_fract_x
_atom_site_fract_y
_atom_site_fract_z
Hf1 Hf 0.000 0.000 0.000
Si1 Si 0.250 0.250 0.250
Cl1 Cl 0.000 0.000 0.500

---

[2]
# Sb2TePb | Alexandria | PBE-GGA | optimized geometry
# - Fermi-level density of states (states/eV per cell) = 6.275
# - volume (Å³ per cell) = 232.4
# - ΔE to the lowest computed polymorph (meV per atom) = 278
# - formation energy from raw total energies (eV per atom) = 0.14
data_Sb2TePb
_chemical_formula_sum 'Sb4 Te2 Pb2'
_cell_length_a 5.445
_cell_length_b 5.445
_cell_length_c 7.840
_cell_angle_alpha 90.00
_cell_angle_beta 90.00
_cell_angle_gamma 90.00
_symmetry_space_group_name_H-M 'I -4 m 2'
_symmetry_Int_Tables_number 119
_symmetry_space_group_name_Hall 'I -4 -2'
loop_
_atom_site_label
_atom_site_type_symbol
_atom_site_fract_x
_atom_site_fract_y
_atom_site_fract_z
Sb1 Sb 0.000 0.000 0.000
Sb2 Sb 0.000 0.500 0.250
Te1 Te 0.000 0.500 0.750
Pb1 Pb 0.000 0.000 0.500